Compound: Pm2MoF11
Source: Alexandria via LeMat-Bulk
Functional: PBE with a Hubbard U
Structure: optimized geometry Values from VASP.

Summary:
- raw total energy (eV per atom) = -5.944

Structure (Quantum ESPRESSO input):
```
&SYSTEM
  ibrav = 0, nat = 28, ntyp = 3
/
ATOMIC_SPECIES
Pm 145.00 Pm.upf
F 19.00 F.upf
Mo 95.94 Mo.upf
ATOMIC_POSITIONS crystal
Pm 0.141 0.818 0.182
Pm 0.859 0.182 0.818
Pm 0.359 0.318 0.682
Pm 0.641 0.682 0.318
F 0.263 0.305 0.998
F 0.841 0.916 0.790
F 0.763 0.498 0.805
F 0.626 0.282 0.718
F 0.659 0.710 0.584
F 0.159 0.084 0.210
F 0.737 0.695 0.002
F 0.933 0.805 0.498
F 0.000 0.000 0.000
F 0.433 0.998 0.305
F 0.500 0.500 0.500
F 0.453 0.790 0.916
F 0.567 0.002 0.695
F 0.047 0.584 0.710
F 0.341 0.290 0.416
F 0.953 0.416 0.290
F 0.126 0.218 0.782
F 0.874 0.782 0.218
F 0.067 0.195 0.502
F 0.237 0.502 0.195
F 0.547 0.210 0.084
F 0.374 0.718 0.282
Mo 0.750 0.750 0.750
Mo 0.250 0.250 0.250
CELL_PARAMETERS angstrom
7.294 0.000 3.802
3.466 7.426 2.248
0.213 -0.312 8.490
```